(1)
Crystalline AlCu2W at its relaxed geometry. Source: Alexandria via LeMat-Bulk, functional GGA-PBE.

V: 13.76 Å³/atom
ΔE_f: 93 kJ/mol of formula units

Structure (CIF):
```
data_AlCu2W
_chemical_formula_sum 'Al2 Cu4 W2'
_cell_length_a 3.7790
_cell_length_b 3.7790
_cell_length_c 7.7073
_cell_angle_alpha 90.00
_cell_angle_beta 90.00
_cell_angle_gamma 90.00
_space_group_name_H-M_alt 'I 4/m m m'
_space_group_IT_number 139
_space_group_name_Hall '-I 4 2'
loop_
_atom_site_label
_atom_site_type_symbol
_atom_site_fract_x
_atom_site_fract_y
_atom_site_fract_z
Al1 Al 0.0000 0.0000 0.0000
Cu1 Cu 0.0000 0.5000 0.2500
W1 W 0.0000 0.0000 0.5000
```

(2)
Crystalline Ce2GdCo at its relaxed geometry. Source: Alexandria via LeMat-Bulk, functional GGA-PBE.

V: 24.73 Å³/atom
Offset from the most stable computed form: 6.1 meV/atom
ΔE_f: -1 kJ/mol of formula units

Structure (CIF):
```
data_Ce2GdCo
_chemical_formula_sum 'Ce2 Gd1 Co1'
_cell_length_a 3.5158
_cell_length_b 3.5158
_cell_length_c 8.0036
_cell_angle_alpha 90.00
_cell_angle_beta 90.00
_cell_angle_gamma 90.00
_space_group_name_H-M_alt 'P 4/m m m'
_space_group_IT_number 123
_space_group_name_Hall '-P 4 2'
loop_
_atom_site_label
_atom_site_type_symbol
_atom_site_fract_x
_atom_site_fract_y
_atom_site_fract_z
Ce1 Ce 0.0000 0.0000 0.1790
Gd1 Gd 0.5000 0.5000 0.5000
Co1 Co 0.5000 0.5000 0.0000
```

(3)
Crystalline AcPmPb at its relaxed geometry. Source: Alexandria via LeMat-Bulk, functional GGA-PBE.

V: 33.77 Å³/atom
Offset from the most stable computed form: 132.8 meV/atom
ΔE_f: -87 kJ/mol of formula units

Structure (CIF):
```
data_AcPmPb
_chemical_formula_sum 'Ac2 Pm2 Pb2'
_cell_length_a 4.3343
_cell_length_b 4.3343
_cell_length_c 10.7872
_cell_angle_alpha 90.00
_cell_angle_beta 90.00
_cell_angle_gamma 90.00
_space_group_name_H-M_alt 'I 4 m m'
_space_group_IT_number 107
_space_group_name_Hall 'I 4 -2'
loop_
_atom_site_label
_atom_site_type_symbol
_atom_site_fract_x
_atom_site_fract_y
_atom_site_fract_z
Ac1 Ac 0.0000 0.0000 0.0000
Pm1 Pm 0.0000 0.0000 0.6904
Pb1 Pb 0.0000 0.0000 0.3304
```

(4)
Crystalline Dy4RuSeS2 at its relaxed geometry. Source: Alexandria via LeMat-Bulk, functional GGA-PBE.

V: 22.96 Å³/atom
Formation energy from raw total energies: -1447 meV/atom

Structure (CIF):
```
data_Dy4RuSeS2
_chemical_formula_sum 'Dy16 Ru4 Se4 S8'
_cell_length_a 7.7634
_cell_length_b 8.3307
_cell_length_c 11.3605
_cell_angle_alpha 90.00
_cell_angle_beta 90.00
_cell_angle_gamma 90.00
_space_group_name_H-M_alt 'I m m a'
_space_group_IT_number 74
_space_group_name_Hall '-I 2b 2'
loop_
_atom_site_label
_atom_site_type_symbol
_atom_site_fract_x
_atom_site_fract_y
_atom_site_fract_z
Dy1 Dy 0.0000 0.0052 0.2461
Dy2 Dy 0.2425 0.2500 0.0169
Ru1 Ru 0.2500 0.2500 0.2500
Se1 Se 0.0000 0.0000 0.5000
S1 S 0.0000 0.0000 0.0000
S2 S 0.2500 0.2500 0.7500
```

(5)
Crystalline AlGeNO2 at its relaxed geometry. Source: Alexandria via LeMat-Bulk, functional GGA-PBE.

V: 10.59 Å³/atom
Formation energy from raw total energies: -639 meV/atom

Structure (CIF):
```
data_AlGeNO2
_chemical_formula_sum 'Al1 Ge1 N1 O2'
_cell_length_a 3.6433
_cell_length_b 3.6433
_cell_length_c 3.9888
_cell_angle_alpha 90.00
_cell_angle_beta 90.00
_cell_angle_gamma 90.00
_space_group_name_H-M_alt 'P 4/m m m'
_space_group_IT_number 123
_space_group_name_Hall '-P 4 2'
loop_
_atom_site_label
_atom_site_type_symbol
_atom_site_fract_x
_atom_site_fract_y
_atom_site_fract_z
Al1 Al 0.0000 0.0000 0.0000
Ge1 Ge 0.5000 0.5000 0.5000
N1 N 0.0000 0.0000 0.5000
O1 O 0.0000 0.5000 0.0000
```

(6)
Crystalline ZrSc2BiN at its relaxed geometry. Source: Alexandria via LeMat-Bulk, functional GGA-PBE.

V: 18.67 Å³/atom
Formation energy from raw total energies: -864 meV/atom

Structure (CIF):
```
data_ZrSc2BiN
_chemical_formula_sum 'Zr1 Sc2 Bi1 N1'
_cell_length_a 4.4495
_cell_length_b 4.4495
_cell_length_c 4.7141
_cell_angle_alpha 90.00
_cell_angle_beta 90.00
_cell_angle_gamma 90.00
_space_group_name_H-M_alt 'P 4/m m m'
_space_group_IT_number 123
_space_group_name_Hall '-P 4 2'
loop_
_atom_site_label
_atom_site_type_symbol
_atom_site_fract_x
_atom_site_fract_y
_atom_site_fract_z
Zr1 Zr 0.0000 0.0000 0.0000
Sc1 Sc 0.0000 0.5000 0.5000
Bi1 Bi 0.5000 0.5000 0.0000
N1 N 0.0000 0.0000 0.5000
```